DFT (PBE) results for a relaxed LaAlIr crystal.

The total energy comes out at -6.36 eV/atom.

Unit cell a=6.630 b=6.630 c=6.630 alpha=90.00 beta=90.00 gamma=90.00
Space group F-43m (No. 216)
One atom of each set of equivalent atoms:
La  0.000  0.000  0.000 (multiplicity 4)
Al  0.000  0.000  0.500 (multiplicity 4)
Ir  0.250  0.250  0.750 (multiplicity 4)



DFT (PBE) results for a relaxed YTmMg crystal.

Its energy above the lowest structure with this stoichiometry is 0.495 eV/atom.

Unit cell a=7.353 b=7.353 c=7.353 alpha=90.00 beta=90.00 gamma=90.00
Space group F-43m (No. 216)
One atom of each set of equivalent atoms:
Y  0.000  0.000  0.000 (multiplicity 4)
Tm  0.000  0.000  0.500 (multiplicity 4)
Mg  0.250  0.250  0.750 (multiplicity 4)



DFT (PBE) results for a relaxed HfUIn crystal.

Its energy above the lowest structure with this stoichiometry is 0.301 eV/atom.

Unit cell a=7.061 b=7.061 c=7.061 alpha=90.00 beta=90.00 gamma=90.00
Space group F-43m (No. 216)
One atom of each set of equivalent atoms:
Hf  0.000  0.000  0.000 (multiplicity 4)
U  0.250  0.250  0.250 (multiplicity 4)
In  0.000  0.000  0.500 (multiplicity 4)



DFT (PBE) results for a relaxed Cs3HfCl6 crystal.

The total energy comes out at -4.19 eV/atom.

Unit cell a=11.458 b=11.458 c=11.458 alpha=90.00 beta=90.00 gamma=90.00
Space group Fm-3m (No. 225)
One atom of each set of equivalent atoms:
Cs  0.000  0.000  0.000 (multiplicity 4)
Cs  0.250  0.250  0.250 (multiplicity 8)
Hf  0.000  0.000  0.500 (multiplicity 4)
Cl  0.000  0.000  0.281 (multiplicity 24)